This record from Alexandria via LeMat-Bulk describes TaCo2CuO6 after structural relaxation. The functional is GGA+U.

For the uncorrected energy, the calculation gives -7.04 eV/atom. The crystal system is triclinic. For the density of states at the Fermi level, the calculation gives 2.776 states/eV/f.u.

abc: 5.1957 5.1386 5.4089
angles: 62.61 63.03 58.42
Sites, in units of the cell vectors:
O: 0.2681 0.9121 0.2312
O: 0.6011 0.2387 0.2518
O: 0.7078 0.1250 0.7429
O: 0.4088 0.7002 0.7539
O: 0.1305 0.4290 0.7370
O: 0.9020 0.5817 0.2707
Co: 0.5078 0.5082 0.4744
Co: 0.0229 0.0378 0.9198
Ta: 0.3051 0.3127 0.0746
Cu: 0.8074 0.8163 0.5589